A plane-wave DFT calculation with GGA-PBE was carried out for a relaxed MgGeSe3 crystal.

Summary:
Distance to the lowest polymorph of the same formula ... 100 meV/atom
Symmetry ... No. 40
Crystal system ... orthorhombic

```
MgGeSe3
1.0
4.3081 0.8270 0.0000
-0.8517 4.3033 0.0000
0.0000 0.0000 13.2047
Se Mg Ge
6 2 2
Direct
0.1047 0.7377 0.4021 Se
0.1047 0.7377 0.0979 Se
0.2319 0.6937 0.7500 Se
0.7377 0.1047 0.9021 Se
0.6937 0.2319 0.2500 Se
0.7377 0.1047 0.5979 Se
0.2446 0.2446 0.0000 Mg
0.2446 0.2446 0.5000 Mg
0.7300 0.4084 0.7500 Ge
0.4084 0.7300 0.2500 Ge
```